# 1
Below is ZnCo2Pb2 after structural relaxation, with properties calculated at the PBE level.

Cell: 6.695 6.695 3.969 Å, 90.00 90.00 90.00°
Space group P4/mbm (No. 127)
Asymmetric unit:
Zn1 0.000 0.000 0.000
Co1 0.134 0.366 0.000
Pb1 0.170 0.670 0.500

Computed properties:
Spin magnetization, μB per cell: 2.9
VASP energy, Ry per atom: -0.311
N(E_F), states/eV per cell: 8.2
Energy of formation from the pure elements, kJ/mol of atoms: 33.37



# 2
Below is Ac2ZnNiH after structural relaxation, with properties calculated at the PBE level.

Cell: 6.756 4.369 8.263 Å, 90.00 106.43 90.00°
Space group P2_1/m (No. 11)
Asymmetric unit:
Ac1 0.229 0.250 0.416
Ac2 0.236 0.250 0.957
Zn1 0.355 0.750 0.714
Ni1 0.435 0.750 0.232
H1 0.180 0.750 0.177

Computed properties:
Spin magnetization, μB per cell: 0.0
VASP energy, Ry per atom: -0.296
N(E_F), states/eV per cell: 7.6



# 3
Below is Cs2HoUSe6 after structural relaxation, with properties calculated at the PBE level.

Cell: 7.793 11.022 7.794 Å, 90.00 90.00 90.00°
Space group Pmmn (No. 59, origin choice 2)
Asymmetric unit:
Cs1 0.250 0.000 0.250
Ho1 0.250 0.250 0.750
U1 0.250 0.750 0.750
Se1 0.006 0.750 0.506
Se2 0.006 0.750 0.993
Se3 0.250 0.506 0.750

Computed properties:
Raw formation energy, eV per atom: -1.257
Spin magnetization, μB per cell: 0.0
VASP energy, Ry per atom: -0.375
N(E_F), states/eV per cell: 12.3



# 4
Below is ReRuSN2 after structural relaxation, with properties calculated at the PBE level.

Cell: 3.753 3.753 5.159 Å, 90.00 90.00 90.00°
Space group P4/mmm (No. 123)
Asymmetric unit:
Re1 0.000 0.000 0.000
Ru1 0.500 0.500 0.500
S1 0.500 0.500 0.000
N1 0.000 0.500 0.500

Computed properties:
Raw formation energy, eV per atom: 1.473
Spin magnetization, μB per cell: 3.7
VASP energy, Ry per atom: -0.516
N(E_F), states/eV per cell: 4.4
ΔE to the lowest computed polymorph, meV per atom: 547.4



# 5
Below is Ga3AgPd5 after structural relaxation, with properties calculated at the PBE level.

Cell: 7.5606 7.5606 5.6044 Å, 90.00 90.00 120.00°
Space group P6_3/mcm (No. 193)
Asymmetric unit:
Ga1 0.0000 0.3527 0.2500
Ag1 0.0000 0.0000 0.0000
Pd1 0.0000 0.3194 0.7500
Pd2 0.3333 0.6667 0.0000

Computed properties:
Spin magnetization, μB per cell: 0.0
VASP energy, Ry per atom: -0.347
N(E_F), states/eV per cell: 5.1
Energy of formation from the pure elements, kJ/mol of atoms: -49.09



# 6
Below is MnSbP4 after structural relaxation, with properties calculated at the PBE level.

Cell: 7.469 7.469 7.469 Å, 90.00 90.00 90.00°
Space group F-43m (No. 216)
Asymmetric unit:
Mn1 0.000 0.000 0.000
Sb1 0.250 0.250 0.750
P1 0.135 0.135 0.365

Computed properties:
Raw formation energy, eV per atom: 0.669
Spin magnetization, μB per cell: 15.0
VASP energy, Ry per atom: -0.379
N(E_F), states/eV per cell: 13.8



Which formula does entry 4 have? ReRuSN2